# 1
{
  "formula": "Ta5Os",
  "functional": "SCAN",
  "state": "single point on PBEsol structure",
  "energy_ev_per_atom": -67.70,
  "n_ef_per_ev_atom": 0.71,
  "cell": [[3.2090, 0.0000, 0.0000], [0.0000, 3.2090, 0.0000], [0.0000, 0.0000, 9.8353]],
  "species": ["Ta", "Ta", "Ta", "Ta", "Ta", "Os"],
  "fractional_positions": [[0.0000, 0.0000, 0.0000], [0.0000, 0.0000, 0.3403], [0.0000, 0.0000, 0.6597], [0.5000, 0.5000, 0.1688], [0.5000, 0.5000, 0.8312], [0.5000, 0.5000, 0.5000]]
}

***

# 2
{
  "formula": "Pr3Si2S8I",
  "functional": "SCAN",
  "state": "single point on PBEsol structure",
  "energy_ev_per_atom": -20.52,
  "n_ef_per_ev_atom": 0.00,
  "formation_energy_uncorrected_ev_per_atom": -1.681,
  "cell": [[7.8753, -3.9004, 0.0000], [7.8753, 3.9004, 0.0000], [-1.4814, 0.0000, 10.6777]],
  "species": ["Pr", "Pr", "Pr", "Pr", "Pr", "Pr", "Si", "Si", "Si", "Si", "S", "S", "S", "S", "S", "S", "S", "S", "S", "S", "S", "S", "S", "S", "S", "S", "I", "I"],
  "fractional_positions": [[0.0976, 0.9024, 0.7500], [0.1798, 0.4233, 0.3185], [0.4233, 0.1798, 0.8185], [0.5767, 0.8202, 0.1815], [0.8202, 0.5767, 0.6815], [0.9024, 0.0976, 0.2500], [0.1229, 0.1971, 0.0296], [0.1971, 0.1229, 0.5296], [0.8029, 0.8771, 0.4704], [0.8771, 0.8029, 0.9704], [0.0483, 0.2504, 0.8374], [0.0876, 0.7797, 0.4561], [0.1014, 0.6071, 0.8514], [0.2127, 0.3546, 0.5857], [0.2203, 0.9124, 0.0439], [0.2504, 0.0483, 0.3374], [0.3546, 0.2127, 0.0857], [0.3929, 0.8986, 0.6486], [0.6071, 0.1014, 0.3514], [0.6454, 0.7873, 0.9143], [0.7496, 0.9517, 0.6626], [0.7797, 0.0876, 0.9561], [0.7873, 0.6454, 0.4143], [0.8986, 0.3929, 0.1486], [0.9124, 0.2203, 0.5439], [0.9517, 0.7496, 0.1626], [0.4860, 0.5140, 0.2500], [0.5140, 0.4860, 0.7500]]
}

***

# 3
{
  "formula": "Hf2ScBr",
  "functional": "SCAN",
  "state": "single point on PBEsol structure",
  "energy_ev_per_atom": -39.15,
  "n_ef_per_ev_atom": 0.93,
  "formation_energy_uncorrected_ev_per_atom": 0.607,
  "cell": [[0.0000, 3.4908, 3.4908], [3.4908, 0.0000, 3.4908], [3.4908, 3.4908, 0.0000]],
  "species": ["Hf", "Hf", "Sc", "Br"],
  "fractional_positions": [[0.2500, 0.2500, 0.2500], [0.7500, 0.7500, 0.7500], [0.0000, 0.0000, 0.0000], [0.5000, 0.5000, 0.5000]]
}

***

# 4
{
  "formula": "OsOF2",
  "functional": "SCAN",
  "state": "single point on PBEsol structure",
  "energy_ev_per_atom": -20.93,
  "n_ef_per_ev_atom": 0.26,
  "formation_energy_uncorrected_ev_per_atom": 0.368,
  "cell": [[1.3028, 0.7522, 8.1883], [-1.3028, 0.7522, 8.1883], [0.0000, -1.5044, 8.1883]],
  "species": ["Os", "O", "F", "F"],
  "fractional_positions": [[0.0000, 0.0000, 0.0000], [0.5000, 0.5000, 0.5000], [0.4048, 0.4048, 0.4048], [0.5952, 0.5952, 0.5952]]
}

***

# 5
{
  "formula": "AgSbF3",
  "functional": "SCAN",
  "state": "single point on PBEsol structure",
  "energy_ev_per_atom": -17.14,
  "n_ef_per_ev_atom": 0.43,
  "formation_energy_uncorrected_ev_per_atom": -1.286,
  "cell": [[4.4351, 0.0000, 0.0000], [0.0000, 4.4351, 0.0000], [0.0000, 0.0000, 4.4351]],
  "species": ["Ag", "Sb", "F", "F", "F"],
  "fractional_positions": [[0.0000, 0.0000, 0.0000], [0.5000, 0.5000, 0.5000], [0.0000, 0.5000, 0.5000], [0.5000, 0.0000, 0.5000], [0.5000, 0.5000, 0.0000]]
}

***

# 6
{
  "formula": "CrHg2Os",
  "functional": "SCAN",
  "state": "single point on PBEsol structure",
  "energy_ev_per_atom": -55.96,
  "n_ef_per_ev_atom": 0.59,
  "cell": [[1.4717, 0.8497, 9.0298], [-1.4717, 0.8497, 9.0298], [0.0000, -1.6993, 9.0298]],
  "species": ["Cr", "Hg", "Hg", "Os"],
  "fractional_positions": [[0.0000, 0.0000, 0.0000], [0.2513, 0.2513, 0.2513], [0.7487, 0.7487, 0.7487], [0.5000, 0.5000, 0.5000]]
}

***

# 7
{
  "formula": "CdSbIO2",
  "functional": "SCAN",
  "state": "single point on PBEsol structure",
  "energy_ev_per_atom": -23.07,
  "n_ef_per_ev_atom": 0.60,
  "formation_energy_uncorrected_ev_per_atom": 0.301,
  "cell": [[4.3177, 0.0000, 0.0000], [0.0000, 4.3177, 0.0000], [0.0000, 0.0000, 5.5711]],
  "species": ["Cd", "Sb", "I", "O", "O"],
  "fractional_positions": [[0.0000, 0.0000, 0.0000], [0.5000, 0.5000, 0.5000], [0.0000, 0.0000, 0.5000], [0.0000, 0.5000, 0.0000], [0.5000, 0.0000, 0.0000]]
}

***

# 8
{
  "formula": "Cu5As",
  "functional": "SCAN",
  "state": "single point on PBEsol structure",
  "energy_ev_per_atom": -15.95,
  "n_ef_per_ev_atom": 0.26,
  "cell": [[4.1572, 0.0000, 0.0000], [0.0000, 1.3322, 6.6454], [0.0000, -1.3322, 6.6454]],
  "species": ["Cu", "Cu", "Cu", "Cu", "Cu", "As"],
  "fractional_positions": [[0.0000, 0.0000, 0.0000], [0.0000, 0.3247, 0.3247], [0.0000, 0.6613, 0.6613], [0.5000, 0.2123, 0.2123], [0.5000, 0.5544, 0.5544], [0.5000, 0.8847, 0.8847]]
}

***

Copy entry 2 word for word.
{
  "formula": "Pr3Si2S8I",
  "functional": "SCAN",
  "state": "single point on PBEsol structure",
  "energy_ev_per_atom": -20.52,
  "n_ef_per_ev_atom": 0.00,
  "formation_energy_uncorrected_ev_per_atom": -1.681,
  "cell": [[7.8753, -3.9004, 0.0000], [7.8753, 3.9004, 0.0000], [-1.4814, 0.0000, 10.6777]],
  "species": ["Pr", "Pr", "Pr", "Pr", "Pr", "Pr", "Si", "Si", "Si", "Si", "S", "S", "S", "S", "S", "S", "S", "S", "S", "S", "S", "S", "S", "S", "S", "S", "I", "I"],
  "fractional_positions": [[0.0976, 0.9024, 0.7500], [0.1798, 0.4233, 0.3185], [0.4233, 0.1798, 0.8185], [0.5767, 0.8202, 0.1815], [0.8202, 0.5767, 0.6815], [0.9024, 0.0976, 0.2500], [0.1229, 0.1971, 0.0296], [0.1971, 0.1229, 0.5296], [0.8029, 0.8771, 0.4704], [0.8771, 0.8029, 0.9704], [0.0483, 0.2504, 0.8374], [0.0876, 0.7797, 0.4561], [0.1014, 0.6071, 0.8514], [0.2127, 0.3546, 0.5857], [0.2203, 0.9124, 0.0439], [0.2504, 0.0483, 0.3374], [0.3546, 0.2127, 0.0857], [0.3929, 0.8986, 0.6486], [0.6071, 0.1014, 0.3514], [0.6454, 0.7873, 0.9143], [0.7496, 0.9517, 0.6626], [0.7797, 0.0876, 0.9561], [0.7873, 0.6454, 0.4143], [0.8986, 0.3929, 0.1486], [0.9124, 0.2203, 0.5439], [0.9517, 0.7496, 0.1626], [0.4860, 0.5140, 0.2500], [0.5140, 0.4860, 0.7500]]
}